A plane-wave DFT calculation with PBEsol was carried out for crystalline GaCuO2 at its relaxed geometry.

The space group is R-3m (No. 166, hexagonal axes) and the conventional cell measures 3.0238, 3.0238 and 17.3223 Å, with angles of 90.00, 90.00 and 120.00 degrees. The asymmetric unit holds Ga at (0.0000, 0.0000, 0.0000), Cu at (0.0000, 0.0000, 0.5000) and O at (0.0000, 0.0000, 0.1063).

The value obtained for the uncorrected formation energy is -627 meV per atom. As for the density of states at the Fermi level: 0.6122 states/eV per atom.



A plane-wave DFT calculation with PBEsol was carried out for crystalline GaCuO2 at its relaxed geometry.

The space group is R-3m (No. 166, hexagonal axes) and the conventional cell measures 2.9679, 2.9679 and 17.1243 Å, with angles of 90.00, 90.00 and 120.00 degrees. The asymmetric unit holds Ga at (0.0000, 0.0000, 0.0000), Cu at (0.0000, 0.0000, 0.5000) and O at (0.0000, 0.0000, 0.3925).

The value obtained for the uncorrected formation energy is -1352 meV per atom.